A plane-wave DFT calculation with PBE was carried out for HgPdC2O6 after structural relaxation.

The structure belongs to space group R-3 (No. 148, hexagonal axes); the cell edges are 5.0060, 5.0060 and 16.5949 Å and the angles 90.00°, 90.00° and 120.00°. Symmetry generates all atoms from Hg at (0.0000, 0.0000, 0.0000), Pd at (0.0000, 0.0000, 0.5000), C at (0.0000, 0.0000, 0.2457) and O at (0.0147, 0.2665, 0.2462).

The raw formation energy comes out at -852 meV/atom. The total magnetic moment is 2.00 μB/f.u. The calculation puts the raw total energy at -186.64 eV/cell.



A plane-wave DFT calculation with PBE was carried out for CsCdIrF6 after structural relaxation.

The structure belongs to space group C2 (No. 5); the cell edges are 5.8537, 10.1552 and 6.3481 Å and the angles 90.00°, 90.09° and 90.00°. Symmetry generates all atoms from Cs at (0.0000, 0.0000, 0.0000), Cd at (0.0000, 0.3334, 0.5000), Ir at (0.0000, 0.6665, 0.5000), F at (0.1323, 0.5159, 0.3261), F at (0.1590, 0.8083, 0.3262) and F at (0.2069, 0.1754, 0.3266).

The raw formation energy comes out at -1989 meV/atom. The total magnetic moment is 0.16 μB/f.u. The calculation puts the raw total energy at -79.51 eV/cell.



A plane-wave DFT calculation with PBE was carried out for Na3Hg2PdO6 after structural relaxation.

The structure belongs to space group C2/m (No. 12); the cell edges are 6.0434, 9.9634 and 5.8380 Å and the angles 90.00°, 113.56° and 90.00°. Symmetry generates all atoms from Na at (0.0000, 0.0000, 0.0000), Na at (0.0000, 0.3336, 0.0000), Hg at (0.0000, 0.1714, 0.5000), Pd at (0.0000, 0.5000, 0.5000), O at (0.2084, 0.3528, 0.7316) and O at (0.2231, 0.5000, 0.3141).

The raw formation energy comes out at -774 meV/atom. The total magnetic moment is 0.92 μB/f.u. The calculation puts the raw total energy at -97.59 eV/cell.



A plane-wave DFT calculation with PBE was carried out for LaIrPt after structural relaxation.

The structure belongs to space group Imma (No. 74); the cell edges are 4.3896, 8.2006 and 7.6239 Å and the angles 90.00°, 90.00° and 90.00°. Symmetry generates all atoms from La at (0.0000, 0.0000, 0.0000), Ir at (0.0000, 0.2500, 0.3260) and Pt at (0.0000, 0.2500, 0.6605).

Its energy of formation from the pure elements is -0.851 eV per atom. The total magnetic moment is 0.00 μB/f.u. The calculation puts the raw total energy at -89.52 eV/cell. The calculation puts the excess energy over the best structure of this formula in the dataset at 46 meV/atom.



A plane-wave DFT calculation with PBE was carried out for Nb2Pd2Rh after structural relaxation.

The structure belongs to space group P4/mbm (No. 127); the cell edges are 7.5088, 7.5088 and 2.9682 Å and the angles 90.00°, 90.00° and 90.00°. Symmetry generates all atoms from Nb at (0.1761, 0.3239, 0.0000), Pd at (0.1244, 0.6244, 0.5000) and Rh at (0.0000, 0.0000, 0.5000).

Its energy of formation from the pure elements is -0.099 eV per atom. The total magnetic moment is 0.00 μB/f.u. The calculation puts the raw total energy at -76.74 eV/cell. The calculation puts the excess energy over the best structure of this formula in the dataset at 216 meV/atom.



A plane-wave DFT calculation with PBE was carried out for Cu2SiPt after structural relaxation.

The structure belongs to space group P4/mmm (No. 123); the cell edges are 3.6572, 3.6572 and 3.9091 Å and the angles 90.00°, 90.00° and 90.00°. Symmetry generates all atoms from Cu at (0.0000, 0.5000, 0.0000), Si at (0.0000, 0.0000, 0.5000) and Pt at (0.5000, 0.5000, 0.5000).

The raw formation energy comes out at -237 meV/atom. The total magnetic moment is 0.00 μB/f.u. The calculation puts the raw total energy at -20.60 eV/cell.



A plane-wave DFT calculation with PBE was carried out for Ce2SmDy3Sb6 after structural relaxation.

The structure belongs to space group C2/m (No. 12); the cell edges are 19.3263, 4.4385 and 8.8754 Å and the angles 90.00°, 103.25° and 90.00°. Symmetry generates all atoms from Ce at (0.1662, 0.0000, 0.3322), Sm at (0.0000, 0.5000, 0.0000), Dy at (0.0000, 0.5000, 0.5000), Dy at (0.1663, 0.0000, 0.8338), Sb at (0.0012, 0.0000, 0.7466), Sb at (0.1655, 0.5000, 0.5867) and Sb at (0.1680, 0.5000, 0.0799).

The raw formation energy comes out at -1112 meV/atom. The total magnetic moment is 1.50 μB/f.u. The calculation puts the raw total energy at -136.94 eV/cell.



A plane-wave DFT calculation with PBE was carried out for PmSm3Ge4 after structural relaxation.

The structure belongs to space group Immm (No. 71); the cell edges are 4.0714, 6.5175 and 16.1984 Å and the angles 90.00°, 90.00° and 90.00°. Symmetry generates all atoms from Pm at (0.0000, 0.0000, 0.0000), Sm at (0.0000, 0.0000, 0.5000), Sm at (0.0000, 0.5000, 0.3036) and Ge at (0.0000, 0.3094, 0.1314).

Its energy of formation from the pure elements is -0.658 eV per atom. The total magnetic moment is 0.00 μB/f.u. The calculation puts the raw total energy at -85.28 eV/cell.